DFT (PBE-GGA) results for a geometry-optimized AcGeSbPd structure.

```
data_AcGeSbPd
_chemical_formula_sum 'Ac4 Ge4 Sb4 Pd4'
_symmetry_space_group_name_H-M 'F -4 3 m'
_symmetry_Int_Tables_number 216
_symmetry_space_group_name_Hall 'F -4 2 3'
_cell_length_a 7.3402
_cell_length_b 7.3402
_cell_length_c 7.3402
_cell_angle_alpha 90.00
_cell_angle_beta 90.00
_cell_angle_gamma 90.00
loop_
_atom_site_label
_atom_site_type_symbol
_atom_site_fract_x
_atom_site_fract_y
_atom_site_fract_z
_atom_site_occupancy
Ac1 Ac 0.0000 0.0000 0.0000 1
Ge1 Ge 0.2500 0.2500 0.7500 1
Sb1 Sb 0.0000 0.0000 0.5000 1
Pd1 Pd 0.2500 0.2500 0.2500 1
```

Computed properties:
Crystal system: cubic
Formation energy from raw total energies in kJ/mol of formula units: -166
N(E_F) in states/eV/cell: 9.22